The following is a DFT calculation (PBE) of an optimized crystal structure of CoTeI2Cl.

a b c (Å): 5.574 5.574 5.648
angles (deg): 90.00 90.00 90.00
Fractional positions:
I 0.000 0.500 0.000
I 0.500 0.000 0.000
Te 0.000 0.000 0.500
Co 0.500 0.500 0.500
Cl 0.000 0.000 0.000

Computed properties:
space-group type	P4/mmm
volume	35.09	Å³/atom
total energy	-1.890	eV/atom

***

The following is a DFT calculation (PBE) of an optimized crystal structure of Ti2CoICl.

a b c (Å): 4.403 6.162 4.403
angles (deg): 90.00 90.00 90.00
Fractional positions:
I 0.000 0.500 0.000
Cl 0.000 0.000 0.000
Co 0.500 0.500 0.500
Ti 0.000 0.000 0.500
Ti 0.500 0.000 0.000

Computed properties:
space-group type	P4/mmm
volume	23.89	Å³/atom
total energy	-4.450	eV/atom

***

The following is a DFT calculation (PBE) of an optimized crystal structure of Ti2CoICl.

a b c (Å): 5.308 4.496 5.308
angles (deg): 90.00 90.00 90.00
Fractional positions:
I 0.000 0.000 0.000
Cl 0.500 0.500 0.500
Co 0.000 0.500 0.000
Ti 0.000 0.000 0.500
Ti 0.500 0.000 0.000

Computed properties:
space-group type	P4/mmm
volume	25.33	Å³/atom
total energy	-4.252	eV/atom

***

The following is a DFT calculation (PBE) of an optimized crystal structure of InCoCl2.

a b c (Å): 3.348 4.460 7.109
angles (deg): 74.41 90.00 90.00
Fractional positions:
Cl 0.000 0.072 0.905
Cl 0.500 0.374 0.346
Co 0.000 0.301 0.580
In 0.500 0.754 0.669

Computed properties:
space-group type	Pm
volume	25.56	Å³/atom
total energy	-3.736	eV/atom